[1]
Density functional theory data (PBE-GGA) for a relaxed AgHg3Pd12 crystal.

```
16
Lattice="-3.6981 1.5385 0.4211 -1.0386 -3.1295 2.3126 4.8844 8.1292 13.1946" Properties=species:S:1:pos:R:3 pbc="T T T"
Ag 0.0000 0.0000 0.0000
Hg 1.2116 2.0166 3.2731
Hg 2.4422 4.0646 6.5973
Hg 3.6727 6.1126 9.9215
Pd -2.3684 -0.7955 1.3668
Pd -1.1631 1.2105 4.6228
Pd 0.0738 3.2691 7.9641
Pd 1.3107 5.3276 11.3054
Pd -1.2535 1.7605 1.8194
Pd -0.0238 3.8071 5.1414
Pd 1.2100 5.8605 8.4743
Pd 2.4397 7.9072 11.7963
Pd 0.0763 -0.5736 2.7651
Pd 1.3060 1.4731 6.0871
Pd 2.5398 3.5265 9.4201
Pd 3.7695 5.5732 12.7420
```

Summary:
**Calculated total energy**: -67.28 eV per cell



[2]
Density functional theory data (PBE-GGA) for a relaxed Ag4HgPd3 crystal.

```
8
Lattice="-0.7094 -2.4958 -1.3685 4.7899 -0.8681 -0.8999 -3.0901 -2.7153 9.6979" Properties=species:S:1:pos:R:3 pbc="T T T"
Ag 2.9618 -3.0154 0.8199
Ag -1.9715 -3.0638 6.6095
Ag 0.0355 -4.7132 5.4333
Ag 0.9549 -1.3659 1.9961
Hg -0.3547 -1.2479 -0.6843
Pd 2.3950 -0.4341 -0.4500
Pd -0.5365 -2.1871 4.2668
Pd 1.5269 -3.8921 3.1627
```

Summary:
**Calculated total energy**: -27.65 eV per cell



[3]
Density functional theory data (PBE-GGA) for a relaxed Ag5Hg2Pd12 crystal.

```
19
Lattice="-7.5321 -3.2337 2.3709 4.6366 -3.3204 -5.1539 2.6466 -2.8135 4.5708" Properties=species:S:1:pos:R:3 pbc="T T T"
Ag 1.7138 -3.6993 0.3992
Ag 0.8572 -3.6715 -2.2843
Ag 1.3233 -1.4067 2.2854
Ag -1.1062 -5.6961 4.0720
Ag -1.9628 -5.6682 1.3885
Hg -5.7903 -2.4859 1.8226
Hg -1.7418 -0.7478 0.5483
Pd -2.8843 -5.4111 -1.1881
Pd 4.4820 -4.4091 0.7072
Pd 0.7941 -5.9924 1.8680
Pd 3.5072 -4.3043 -1.8581
Pd 0.0100 -5.8057 -0.7573
Pd 2.6437 -6.4109 -0.3450
Pd -2.8927 -2.9567 2.1326
Pd -3.7562 -5.0632 3.6458
Pd -0.2590 -3.5618 2.5450
Pd -4.7310 -4.9585 1.0805
Pd -1.0431 -3.3752 -0.0803
Pd 2.6353 -3.9565 2.9758
```

Summary:
**Calculated total energy**: -77.06 eV per cell



[4]
Density functional theory data (PBE-GGA) for a relaxed Ag4HgPd3 crystal.

```
8
Lattice="4.4721 0.0000 -1.5775 -0.4836 4.5640 -1.3710 -0.0539 -0.4270 6.9751" Properties=species:S:1:pos:R:3 pbc="T T T"
Pd -0.2418 2.2820 -0.6855
Pd 3.4597 3.6824 2.6802
Pd 0.4749 0.4545 1.3464
Hg 2.2360 0.0000 -0.7887
Ag 3.2183 0.9403 1.9959
Ag 0.7163 3.1967 2.0308
Ag 1.4439 1.3795 4.0933
Ag 2.4908 2.7574 -0.0666
```

Summary:
**Calculated total energy**: -27.55 eV per cell



[5]
Density functional theory data (PBE-GGA) for a relaxed Ag4HgPd4 crystal.

```
9
Lattice="4.1668 0.0000 0.0000 2.0834 6.0641 0.0000 2.0834 0.0000 6.0641" Properties=species:S:1:pos:R:3 pbc="T T T"
Ag 6.2502 4.0026 6.0641
Ag 2.0834 2.0615 0.0001
Ag 4.1668 0.0001 4.0026
Ag 4.1668 6.0641 2.0615
Hg 0.0000 0.0000 0.0000
Pd 4.1668 2.0507 2.0506
Pd 4.1668 4.0134 4.0136
Pd 6.2502 4.0136 2.0507
Pd 2.0834 2.0506 4.0134
```

Summary:
**Calculated total energy**: -32.99 eV per cell



[6]
Density functional theory data (PBE-GGA) for a relaxed Ag2HgPd crystal.

```
4
Lattice="-0.1510 3.3530 2.6509 2.3465 -2.0188 2.6872 3.3579 1.5492 -1.7684" Properties=species:S:1:pos:R:3 pbc="T T T"
Pd -0.0755 1.6765 1.3254
Hg 2.7768 1.4417 1.7849
Ag 1.6790 0.7746 -0.8842
Ag 1.1733 -1.0094 1.3436
```

Summary:
**Calculated total energy**: -11.48 eV per cell



[7]
Density functional theory data (PBE-GGA) for a relaxed Ag3Hg3Pd5 crystal.

```
11
Lattice="-1.7867 3.2362 -2.3773 6.6454 0.2191 -4.6964 -6.2149 -4.8759 -1.9665" Properties=species:S:1:pos:R:3 pbc="T T T"
Ag 4.3506 1.7910 -4.8946
Ag -0.8026 0.6360 -2.5938
Ag -5.7975 -2.2295 -2.7404
Hg 3.8013 0.1253 -2.6864
Hg -3.5550 -2.7891 -1.1249
Hg 0.1843 -1.9930 -2.8516
Pd 1.4653 0.1389 -4.9751
Pd -2.8215 -1.5595 -4.0651
Pd 1.6313 1.7013 -2.9728
Pd -0.6264 -1.2696 -5.3203
Pd -3.2544 -0.2343 -1.9357
```

Summary:
**Calculated total energy**: -31.81 eV per cell



[8]
Density functional theory data (PBE-GGA) for a relaxed Ag3Hg2Pd7 crystal.

```
12
Lattice="-0.2639 -3.9715 -2.4147 4.1169 0.9516 -2.0155 2.8328 -5.4482 8.6512" Properties=species:S:1:pos:R:3 pbc="T T T"
Ag 1.9265 -1.5099 -2.2151
Ag 3.3914 -2.9992 0.0741
Ag 3.2943 -5.4689 4.1468
Hg 5.5096 -3.0326 4.3853
Hg 1.4401 -1.4640 2.2504
Pd 4.1734 -4.2427 6.5217
Pd 4.1933 -1.6945 2.3283
Pd 0.0000 0.0000 0.0000
Pd 2.7763 -0.2539 0.1140
Pd 0.5630 -2.6922 -0.1214
Pd 6.1228 -5.7759 4.3423
Pd 2.7564 -2.8021 4.3073
```

Summary:
**Calculated total energy**: -44.94 eV per cell



Results for formation enthalpy at 0 K: -0.08, -0.05, 0.01, -0.03, -0.06, -0.07, 0.33, 0.05 (in eV/atom, following the order of the records).